A plane-wave DFT calculation with PBE was carried out for a relaxed structure of Tb2ZnPt.

Calculated values
formation energy from the elements	-76.6	kJ/mol of atoms

a b c (Å): 3.5690 3.5690 6.9831
angles (deg): 90.00 90.00 90.00
Space group P4/mmm (No. 123)
Asymmetric unit:
Tb  0.0000  0.0000  0.2425 x2
Zn  0.5000  0.5000  0.5000 x1
Pt  0.5000  0.5000  0.0000 x1

A plane-wave DFT calculation with PBE was carried out for a relaxed structure of LaCd2Se2.

Calculated values
formation energy without anion corrections	-0.668	eV per atom
energy above the most stable polymorph in this dataset	0.153	eV/atom

a b c (Å): 5.3014 5.3014 9.3059
angles (deg): 90.00 90.00 90.00
Space group I4/mmm (No. 139)
Asymmetric unit:
La  0.0000  0.0000  0.0000 x2
Cd  0.0000  0.0000  0.3569 x4
Se  0.0000  0.5000  0.2500 x4

A plane-wave DFT calculation with PBE was carried out for a relaxed structure of Ti8V2Tc.

Calculated values
formation energy from the elements	4.9	kJ/mol of atoms

a b c (Å): 12.8478 5.4924 5.1722
angles (deg): 90.00 98.45 90.00
Space group C2/m (No. 12)
Asymmetric unit:
Ti  0.0876  0.2416  0.3854 x8
Ti  0.1008  0.0000  0.9153 x4
Ti  0.1877  0.5000  0.8352 x4
V  0.2491  0.0000  0.6503 x4
Tc  0.0000  0.5000  0.0000 x2

A plane-wave DFT calculation with PBE was carried out for a relaxed structure of SrPb2N2.

Calculated values
formation energy without anion corrections	-0.118	eV per atom

a b c (Å): 3.6158 3.6158 9.5197
angles (deg): 90.00 90.00 120.00
Space group P-3m1 (No. 164)
Asymmetric unit:
Sr  0.0000  0.0000  0.0000 x1
Pb  0.3333  0.6667  0.3063 x2
N  0.3333  0.6667  0.8286 x2

A plane-wave DFT calculation with PBE was carried out for a relaxed structure of BaReMo3.

Calculated values
formation energy from the elements	133.9	kJ/mol of atoms
energy above the most stable polymorph in this dataset	0.000	eV/atom

a b c (Å): 4.9200 4.9200 4.9200
angles (deg): 90.00 90.00 90.00
Space group Pm-3m (No. 221)
Asymmetric unit:
Ba  0.0000  0.0000  0.0000 x1
Re  0.5000  0.5000  0.5000 x1
Mo  0.0000  0.5000  0.5000 x3

A plane-wave DFT calculation with PBE was carried out for a relaxed structure of Li4Sn3Se8.

Calculated values
formation energy without anion corrections	-0.698	eV per atom
energy above the most stable polymorph in this dataset	0.000	eV/atom

a b c (Å): 7.8347 7.8347 20.4520
angles (deg): 90.00 90.00 120.00
Space group R-3m (No. 166, hexagonal axes)
Asymmetric unit:
Li  0.0000  0.0000  0.0000 x3
Li  0.0000  0.0000  0.1314 x6
Li  0.0000  0.0000  0.5000 x3
Sn  0.0000  0.5000  0.0000 x9
Se  0.0000  0.0000  0.2565 x6
Se  0.0133  0.5067  0.2559 x18

A plane-wave DFT calculation with PBE was carried out for a relaxed structure of Cs2FeBr6N.

Calculated values
formation energy without anion corrections	-0.420	eV per atom

a b c (Å): 7.2561 7.2561 11.9303
angles (deg): 90.00 90.00 90.00
Space group I4/mmm (No. 139)
Asymmetric unit:
Cs  0.0000  0.5000  0.2500 x4
Fe  0.0000  0.0000  0.0000 x2
Br  0.0000  0.0000  0.2028 x4
Br  0.2343  0.2343  0.5000 x8
N  0.0000  0.0000  0.5000 x2

A plane-wave DFT calculation with PBE was carried out for a relaxed structure of Th3InOs.

Calculated values
formation energy from the elements	-16.9	kJ/mol of atoms
energy above the most stable polymorph in this dataset	0.056	eV/atom

a b c (Å): 7.8591 14.6463 5.3290
angles (deg): 90.00 90.00 90.00
Space group Cmmm (No. 65)
Asymmetric unit:
Th  0.0000  0.1262  0.0000 x4
Th  0.1928  0.5000  0.5000 x4
Th  0.2500  0.2500  0.5000 x4
In  0.0000  0.3666  0.0000 x4
Os  0.0000  0.1065  0.5000 x4

Computed calculated density (g cm⁻³) in order:
10.797, 6.624, 5.361, 8.166, 8.524, 4.653, 4.309, 10.841